Here is a relaxed structure of GdThAg from Alexandria via LeMat-Bulk. Energies are from PBE.

The calculation puts the polymorph energy (0 for the lowest one) at 0.59 eV/f.u. As for the raw total energy: -8.0079 eV per atom.

abc: 5.192 5.192 3.486
angles: 90.00 90.00 120.00
Fractional positions:
Gd (0.000, 0.000, 0.000)
Th (0.333, 0.667, 0.594)
Ag (0.667, 0.333, 0.299)